A plane-wave DFT calculation with PBE was carried out for TeMo2Ir after structural relaxation.

```
data_TeMo2Ir
_chemical_formula_sum 'Te2 Mo4 Ir2'
_cell_length_a 4.246
_cell_length_b 2.934
_cell_length_c 10.840
_cell_angle_alpha 90.00
_cell_angle_beta 90.00
_cell_angle_gamma 90.00
_symmetry_space_group_name_H-M 'A m m 2'
_symmetry_Int_Tables_number 38
loop_
_symmetry_equiv_pos_as_xyz
'x,y,z'
'-x,-y,z'
'-x,y,z'
'x,-y,z'
'x,y+1/2,z+1/2'
'-x,-y+1/2,z+1/2'
'-x,y+1/2,z+1/2'
'x,-y+1/2,z+1/2'
loop_
_atom_site_label
_atom_site_fract_x
_atom_site_fract_y
_atom_site_fract_z
_atom_site_occupancy
Te1 0.000 0.000 0.000 1
Mo1 0.000 0.000 0.752 1
Mo2 0.500 0.000 0.390 1
Ir1 0.500 0.000 0.146 1
```

raw formation energy: 319 meV per atom
energy above the most stable polymorph in this dataset: 0.0672 eV per atom
V: 135 Å³/cell
uncorrected energy: -64.77 eV per cell


A plane-wave DFT calculation with PBE was carried out for Te2MoIr after structural relaxation.

```
data_Te2MoIr
_chemical_formula_sum 'Te6 Mo3 Ir3'
_cell_length_a 3.3385
_cell_length_b 3.3385
_cell_length_c 26.6222
_cell_angle_alpha 90.00
_cell_angle_beta 90.00
_cell_angle_gamma 120.00
_symmetry_space_group_name_H-M 'R -3 m'
_symmetry_Int_Tables_number 166
_symmetry_space_group_name_Hall '-R 3 2"'
loop_
_atom_site_label
_atom_site_fract_x
_atom_site_fract_y
_atom_site_fract_z
_atom_site_occupancy
Te1 0.0000 0.0000 0.0949 1
Mo1 0.0000 0.0000 0.5000 1
Ir1 0.0000 0.0000 0.0000 1
```

raw formation energy: 447 meV per atom
energy above the most stable polymorph in this dataset: 0.2911 eV per atom
V: 257 Å³/cell
uncorrected energy: -72.56 eV per cell


A plane-wave DFT calculation with PBE was carried out for Te2MoIr after structural relaxation.

```
data_Te2MoIr
_chemical_formula_sum 'Te4 Mo2 Ir2'
_cell_length_a 9.960
_cell_length_b 3.468
_cell_length_c 4.582
_cell_angle_alpha 90.00
_cell_angle_beta 102.00
_cell_angle_gamma 90.00
_symmetry_space_group_name_H-M 'C 1 m 1'
_symmetry_Int_Tables_number 8
loop_
_symmetry_equiv_pos_as_xyz
'x,y,z'
'x,-y,z'
'x+1/2,y+1/2,z'
'x+1/2,-y+1/2,z'
loop_
_atom_site_label
_atom_site_fract_x
_atom_site_fract_y
_atom_site_fract_z
_atom_site_occupancy
Te1 0.000 0.000 0.000 1
Te2 0.245 0.000 0.587 1
Mo1 0.016 0.500 0.470 1
Ir1 0.248 0.500 0.104 1
```

raw formation energy: 369 meV per atom
energy above the most stable polymorph in this dataset: 0.2125 eV per atom
V: 155 Å³/cell
uncorrected energy: -49.00 eV per cell


A plane-wave DFT calculation with PBE was carried out for TeMoIr2 after structural relaxation.

```
data_TeMoIr2
_chemical_formula_sum 'Te4 Mo4 Ir8'
_cell_length_a 6.515
_cell_length_b 6.515
_cell_length_c 6.515
_cell_angle_alpha 90.00
_cell_angle_beta 90.00
_cell_angle_gamma 90.00
_symmetry_space_group_name_H-M 'F m -3 m'
_symmetry_Int_Tables_number 225
_symmetry_space_group_name_Hall '-F 4 2 3'
loop_
_atom_site_label
_atom_site_fract_x
_atom_site_fract_y
_atom_site_fract_z
_atom_site_occupancy
Te1 0.000 0.000 0.000 1
Mo1 0.000 0.000 0.500 1
Ir1 0.250 0.250 0.250 1
```

raw formation energy: 647 meV per atom
energy above the most stable polymorph in this dataset: 0.4632 eV per atom
V: 277 Å³/cell
uncorrected energy: -116.43 eV per cell


A plane-wave DFT calculation with PBE was carried out for TeMoIr2 after structural relaxation.

```
data_TeMoIr2
_chemical_formula_sum 'Te2 Mo2 Ir4'
_cell_length_a 2.959
_cell_length_b 4.590
_cell_length_c 10.279
_cell_angle_alpha 90.00
_cell_angle_beta 90.00
_cell_angle_gamma 90.00
_symmetry_space_group_name_H-M 'I m m 2'
_symmetry_Int_Tables_number 44
loop_
_symmetry_equiv_pos_as_xyz
'x,y,z'
'-x,-y,z'
'-x,y,z'
'x,-y,z'
'x+1/2,y+1/2,z+1/2'
'-x+1/2,-y+1/2,z+1/2'
'-x+1/2,y+1/2,z+1/2'
'x+1/2,-y+1/2,z+1/2'
loop_
_atom_site_label
_atom_site_fract_x
_atom_site_fract_y
_atom_site_fract_z
_atom_site_occupancy
Te1 0.000 0.000 0.000 1
Mo1 0.000 0.500 0.269 1
Ir1 0.000 0.000 0.547 1
Ir2 0.000 0.500 0.722 1
```

raw formation energy: 448 meV per atom
energy above the most stable polymorph in this dataset: 0.2647 eV per atom
V: 140 Å³/cell
uncorrected energy: -59.81 eV per cell


A plane-wave DFT calculation with PBE was carried out for TeMo2Ir after structural relaxation.

```
data_TeMo2Ir
_chemical_formula_sum 'Te3 Mo6 Ir3'
_cell_length_a 2.9870
_cell_length_b 2.9870
_cell_length_c 26.3385
_cell_angle_alpha 90.00
_cell_angle_beta 90.00
_cell_angle_gamma 120.00
_symmetry_space_group_name_H-M 'R -3 m'
_symmetry_Int_Tables_number 166
_symmetry_space_group_name_Hall '-R 3 2"'
loop_
_atom_site_label
_atom_site_fract_x
_atom_site_fract_y
_atom_site_fract_z
_atom_site_occupancy
Te1 0.0000 0.0000 0.0000 1
Mo1 0.0000 0.0000 0.2486 1
Ir1 0.0000 0.0000 0.5000 1
```

raw formation energy: 387 meV per atom
energy above the most stable polymorph in this dataset: 0.1349 eV per atom
V: 204 Å³/cell
uncorrected energy: -96.35 eV per cell


A plane-wave DFT calculation with PBE was carried out for TeMo2Ir after structural relaxation.

```
data_TeMo2Ir
_chemical_formula_sum 'Te2 Mo4 Ir2'
_cell_length_a 3.988
_cell_length_b 3.988
_cell_length_c 8.377
_cell_angle_alpha 90.00
_cell_angle_beta 90.00
_cell_angle_gamma 90.00
_symmetry_space_group_name_H-M 'I 4/m m m'
_symmetry_Int_Tables_number 139
_symmetry_space_group_name_Hall '-I 4 2'
loop_
_atom_site_label
_atom_site_fract_x
_atom_site_fract_y
_atom_site_fract_z
_atom_site_occupancy
Te1 0.000 0.000 0.000 1
Mo1 0.000 0.500 0.250 1
Ir1 0.000 0.000 0.500 1
```

raw formation energy: 384 meV per atom
energy above the most stable polymorph in this dataset: 0.1317 eV per atom
V: 133 Å³/cell
uncorrected energy: -64.26 eV per cell


A plane-wave DFT calculation with PBE was carried out for Te2MoIr after structural relaxation.

```
data_Te2MoIr
_chemical_formula_sum 'Te2 Mo1 Ir1'
_cell_length_a 3.079
_cell_length_b 3.079
_cell_length_c 9.458
_cell_angle_alpha 90.00
_cell_angle_beta 90.00
_cell_angle_gamma 90.00
_symmetry_space_group_name_H-M 'P 4 m m'
_symmetry_Int_Tables_number 99
loop_
_symmetry_equiv_pos_as_xyz
'x,y,z'
'-y,x,z'
'-x,-y,z'
'y,-x,z'
'-x,y,z'
'y,x,z'
'x,-y,z'
'-y,-x,z'
loop_
_atom_site_label
_atom_site_fract_x
_atom_site_fract_y
_atom_site_fract_z
_atom_site_occupancy
Te1 0.000 0.000 0.000 1
Te2 0.500 0.500 0.406 1
Mo1 0.500 0.500 0.804 1
Ir1 0.000 0.000 0.633 1
```

raw formation energy: 156 meV per atom
energy above the most stable polymorph in this dataset: 0.0000 eV per atom
V: 90 Å³/cell
uncorrected energy: -25.35 eV per cell


A plane-wave DFT calculation with PBE was carried out for TeMoIr2 after structural relaxation.

```
data_TeMoIr2
_chemical_formula_sum 'Te1 Mo1 Ir2'
_cell_length_a 2.977
_cell_length_b 3.928
_cell_length_c 5.755
_cell_angle_alpha 90.00
_cell_angle_beta 90.29
_cell_angle_gamma 90.00
_symmetry_space_group_name_H-M 'P 1 2/m 1'
_symmetry_Int_Tables_number 10
loop_
_symmetry_equiv_pos_as_xyz
'x,y,z'
'-x,-y,-z'
'-x,y,-z'
'x,-y,z'
loop_
_atom_site_label
_atom_site_fract_x
_atom_site_fract_y
_atom_site_fract_z
_atom_site_occupancy
Te1 0.000 0.000 0.000 1
Mo1 0.000 0.000 0.500 1
Ir1 0.498 0.500 0.271 1
```

raw formation energy: 236 meV per atom
energy above the most stable polymorph in this dataset: 0.0530 eV per atom
V: 67 Å³/cell
uncorrected energy: -30.75 eV per cell


A plane-wave DFT calculation with PBE was carried out for TeMoIr3 after structural relaxation.

```
data_TeMoIr3
_chemical_formula_sum 'Te1 Mo1 Ir3'
_cell_length_a 4.771
_cell_length_b 4.771
_cell_length_c 4.771
_cell_angle_alpha 90.00
_cell_angle_beta 90.00
_cell_angle_gamma 90.00
_symmetry_space_group_name_H-M 'P m -3 m'
_symmetry_Int_Tables_number 221
_symmetry_space_group_name_Hall '-P 4 2 3'
loop_
_atom_site_label
_atom_site_fract_x
_atom_site_fract_y
_atom_site_fract_z
_atom_site_occupancy
Te1 0.000 0.000 0.000 1
Mo1 0.500 0.500 0.500 1
Ir1 0.000 0.000 0.500 1
```

raw formation energy: 2128 meV per atom
energy above the most stable polymorph in this dataset: 0.6090 eV per atom
V: 109 Å³/cell
uncorrected energy: -29.91 eV per cell


A plane-wave DFT calculation with PBE was carried out for Te2MoIr after structural relaxation.

```
data_Te2MoIr
_chemical_formula_sum 'Te4 Mo2 Ir2'
_cell_length_a 6.512
_cell_length_b 8.803
_cell_length_c 2.924
_cell_angle_alpha 90.00
_cell_angle_beta 90.00
_cell_angle_gamma 90.00
_symmetry_space_group_name_H-M 'C m m m'
_symmetry_Int_Tables_number 65
_symmetry_space_group_name_Hall '-C 2 2'
loop_
_atom_site_label
_atom_site_fract_x
_atom_site_fract_y
_atom_site_fract_z
_atom_site_occupancy
Te1 0.250 0.250 0.000 1
Mo1 0.000 0.000 0.000 1
Ir1 0.000 0.500 0.000 1
```

raw formation energy: 684 meV per atom
energy above the most stable polymorph in this dataset: 0.5279 eV per atom
V: 168 Å³/cell
uncorrected energy: -46.48 eV per cell


A plane-wave DFT calculation with PBE was carried out for TeMo2Ir after structural relaxation.

```
data_TeMo2Ir
_chemical_formula_sum 'Te1 Mo2 Ir1'
_cell_length_a 3.356
_cell_length_b 3.356
_cell_length_c 6.271
_cell_angle_alpha 90.00
_cell_angle_beta 90.00
_cell_angle_gamma 90.00
_symmetry_space_group_name_H-M 'P 4 m m'
_symmetry_Int_Tables_number 99
loop_
_symmetry_equiv_pos_as_xyz
'x,y,z'
'-y,x,z'
'-x,-y,z'
'y,-x,z'
'-x,y,z'
'y,x,z'
'x,-y,z'
'-y,-x,z'
loop_
_atom_site_label
_atom_site_fract_x
_atom_site_fract_y
_atom_site_fract_z
_atom_site_occupancy
Te1 0.000 0.000 0.000 1
Mo1 0.000 0.000 0.495 1
Mo2 0.500 0.500 0.761 1
Ir1 0.500 0.500 0.319 1
```

raw formation energy: 288 meV per atom
energy above the most stable polymorph in this dataset: 0.0361 eV per atom
V: 71 Å³/cell
uncorrected energy: -32.51 eV per cell